A relaxed structure of MgMnP2, computed with GGA-PBE.

a = 2.951 Å, b = 2.951 Å, c = 6.352 Å
α = 90.00°, β = 90.00°, γ = 90.00°
Site moments in Bohr magnetons follow the coordinates.
Sites, in units of the cell vectors:
Mg1 0.500 0.500 0.250  0.00
Mn1 0.500 0.500 0.750  1.20
P1 0.000 0.000 0.548  -0.03
P2 0.000 0.000 0.952  -0.03

Calculated total energy in eV/atom: -5.5952
SG: P4/mmm, No. 123



A relaxed structure of Ca2PrRuO6, computed with GGA-PBE.

a = 5.667 Å, b = 5.951 Å, c = 8.211 Å
α = 90.00°, β = 90.59°, γ = 90.00°
Site moments in Bohr magnetons follow the coordinates.
Sites, in units of the cell vectors:
Ru1 0.000 0.500 0.000  2.00
Ru2 0.500 0.000 0.500  2.00
O1 0.377 0.939 0.724  0.10
O2 0.123 0.439 0.776  0.10
O3 0.623 0.061 0.276  0.10
O4 0.784 0.824 0.556  0.12
O5 0.168 0.222 0.075  0.11
O6 0.832 0.778 0.925  0.11
O7 0.284 0.676 0.056  0.12
O8 0.877 0.561 0.224  0.10
O9 0.668 0.278 0.575  0.11
O10 0.216 0.176 0.444  0.12
O11 0.716 0.324 0.944  0.12
O12 0.332 0.722 0.425  0.11
Pr1 0.000 0.500 0.500  0.03
Pr2 0.500 0.000 0.000  0.03
Ca1 0.482 0.445 0.244  0.01
Ca2 0.018 0.945 0.256  0.01
Ca3 0.518 0.555 0.756  0.01
Ca4 0.982 0.055 0.744  0.01

Calculated total energy in eV/atom: -7.1183
SG: P2_1/c, No. 14



Copy entry 1 word for word.
A relaxed structure of MgMnP2, computed with GGA-PBE.

a = 2.951 Å, b = 2.951 Å, c = 6.352 Å
α = 90.00°, β = 90.00°, γ = 90.00°
Site moments in Bohr magnetons follow the coordinates.
Sites, in units of the cell vectors:
Mg1 0.500 0.500 0.250  0.00
Mn1 0.500 0.500 0.750  1.20
P1 0.000 0.000 0.548  -0.03
P2 0.000 0.000 0.952  -0.03

Calculated total energy in eV/atom: -5.5952
SG: P4/mmm, No. 123



What is the calculated total energy in the first record? -5.5952 eV/atom



What did the second record say?
A relaxed structure of Ca2PrRuO6, computed with GGA-PBE.

a = 5.667 Å, b = 5.951 Å, c = 8.211 Å
α = 90.00°, β = 90.59°, γ = 90.00°
Site moments in Bohr magnetons follow the coordinates.
Sites, in units of the cell vectors:
Ru1 0.000 0.500 0.000  2.00
Ru2 0.500 0.000 0.500  2.00
O1 0.377 0.939 0.724  0.10
O2 0.123 0.439 0.776  0.10
O3 0.623 0.061 0.276  0.10
O4 0.784 0.824 0.556  0.12
O5 0.168 0.222 0.075  0.11
O6 0.832 0.778 0.925  0.11
O7 0.284 0.676 0.056  0.12
O8 0.877 0.561 0.224  0.10
O9 0.668 0.278 0.575  0.11
O10 0.216 0.176 0.444  0.12
O11 0.716 0.324 0.944  0.12
O12 0.332 0.722 0.425  0.11
Pr1 0.000 0.500 0.500  0.03
Pr2 0.500 0.000 0.000  0.03
Ca1 0.482 0.445 0.244  0.01
Ca2 0.018 0.945 0.256  0.01
Ca3 0.518 0.555 0.756  0.01
Ca4 0.982 0.055 0.744  0.01

Calculated total energy in eV/atom: -7.1183
SG: P2_1/c, No. 14



Among the records above, which one has the highest calculated total energy? MgMnP2